(1)
Here is Pr2DyHo after structural relaxation from the Alexandria database. Energies are from PBE-GGA.

The calculation puts the energy above the most stable polymorph in this dataset at 0.181 kcal/mol of atoms. The crystal system is tetragonal. The magnetic moment is 0.00 μB per formula unit. The calculation puts the density at 7.5 g/cm3.

Cell: 5.153 5.153 5.057 Å, 90.00 90.00 90.00°
Space group P4/mmm (No. 123)
Symmetry-distinct sites (fractional):
Pr 0.000 0.500 0.000 x2
Dy 0.000 0.000 0.500 x1
Ho 0.500 0.500 0.500 x1

***

(2)
Here is Pr3Dy4Ho8 after structural relaxation from the Alexandria database. Energies are from PBE-GGA.

The total DFT energy (no corrections) is -4.234 eV/atom. The crystal system is monoclinic. The magnetic moment is 0.01 μB per formula unit. The calculation puts the density at 7.9 g/cm3.

Cell: 13.409 12.831 6.746 Å, 90.00 120.19 90.00°
Space group C2/m (No. 12)
Symmetry-distinct sites (fractional):
Pr 0.000 0.000 0.000 x2
Pr 0.250 0.250 0.500 x4
Dy 0.000 0.500 0.000 x2
Dy 0.000 0.500 0.500 x2
Dy 0.250 0.250 0.000 x4
Ho 0.000 0.140 0.500 x4
Ho 0.000 0.247 0.000 x4
Ho 0.232 0.000 0.501 x4
Ho 0.239 0.000 0.986 x4

***

(3)
Here is Pr3Dy2Ho6Pu after structural relaxation from the Alexandria database. Energies are from PBE-GGA.

The total DFT energy (no corrections) is -5.401 eV/atom. The crystal system is monoclinic. The magnetic moment is 6.55 μB per formula unit. The calculation puts the density at 8.6 g/cm3.

Cell: 6.181 10.711 11.728 Å, 90.00 100.13 90.00°
Space group C2/m (No. 12)
Symmetry-distinct sites (fractional):
Pr 0.000 0.000 0.000 x2
Pr 0.000 0.333 0.000 x4
Dy 0.000 0.167 0.500 x4
Ho 0.246 0.336 0.744 x8
Ho 0.248 0.500 0.256 x4
Pu 0.000 0.500 0.500 x2

***

(4)
Here is Pr2Dy3Ho6Pu after structural relaxation from the Alexandria database. Energies are from PBE-GGA.

The total DFT energy (no corrections) is -5.380 eV/atom. The crystal system is monoclinic. The magnetic moment is 6.28 μB per formula unit. The calculation puts the density at 8.8 g/cm3.

Cell: 6.154 10.669 11.714 Å, 90.00 100.13 90.00°
Space group C2/m (No. 12)
Symmetry-distinct sites (fractional):
Pr 0.000 0.167 0.000 x4
Dy 0.000 0.000 0.500 x2
Dy 0.000 0.333 0.500 x4
Ho 0.245 0.500 0.748 x4
Ho 0.248 0.336 0.251 x8
Pu 0.000 0.500 0.000 x2

***

(5)
Here is PrDy2HoS4 after structural relaxation from the Alexandria database. Energies are from PBE-GGA.

The uncorrected formation energy is -1985 meV/atom. The crystal system is monoclinic. The magnetic moment is 0.00 μB per formula unit. The calculation puts the density at 7.2 g/cm3.

Cell: 6.853 3.905 6.899 Å, 90.00 108.87 90.00°
Space group P2/m (No. 10)
Symmetry-distinct sites (fractional):
Pr 0.000 0.000 0.000 x1
Dy 0.500 0.000 0.500 x1
Dy 0.500 0.500 0.000 x1
Ho 0.000 0.500 0.500 x1
S 0.254 0.000 0.742 x2
S 0.262 0.500 0.263 x2

***

(6)
Here is PrDy2Ho3S6 after structural relaxation from the Alexandria database. Energies are from PBE-GGA.

The uncorrected formation energy is -1988 meV/atom. The crystal system is monoclinic. The magnetic moment is 0.00 μB per formula unit. The calculation puts the density at 7.4 g/cm3.

Cell: 6.787 11.798 6.813 Å, 90.00 109.45 90.00°
Space group C2/m (No. 12)
Symmetry-distinct sites (fractional):
Pr 0.000 0.000 0.000 x2
Dy 0.000 0.334 0.000 x4
Ho 0.000 0.162 0.500 x4
Ho 0.000 0.500 0.500 x2
S 0.241 0.500 0.255 x4
S 0.242 0.328 0.741 x8

***

(7)
Here is PrDyHo4S8 after structural relaxation from the Alexandria database. Energies are from PBE-GGA.

The uncorrected formation energy is -1923 meV/atom. The crystal system is trigonal. The magnetic moment is 0.00 μB per formula unit. The calculation puts the density at 5.4 g/cm3.

Cell: 8.0764 8.0764 19.8145 Å, 90.00 90.00 120.00°
Space group R3m (No. 160, hexagonal axes)
Symmetry-distinct sites (fractional):
Pr 0.0000 0.0000 0.0000 x3
Dy 0.0000 0.0000 0.6245 x3
Ho 0.0000 0.0000 0.2504 x3
Ho 0.0023 0.5011 0.1256 x9
S 0.0000 0.0000 0.3823 x3
S 0.0000 0.0000 0.8629 x3
S 0.0314 0.5157 0.3798 x9
S 0.1755 0.3509 0.2059 x9

***

(8)
Here is Pr4DyHo3S8 after structural relaxation from the Alexandria database. Energies are from PBE-GGA.

The uncorrected formation energy is -2006 meV/atom. The crystal system is trigonal. The magnetic moment is 0.00 μB per formula unit. The calculation puts the density at 6.8 g/cm3.

Cell: 7.9042 7.9042 20.0732 Å, 90.00 90.00 120.00°
Space group R-3m (No. 166, hexagonal axes)
Symmetry-distinct sites (fractional):
Pr 0.0000 0.0000 0.0000 x3
Pr 0.0000 0.5000 0.0000 x9
Dy 0.0000 0.0000 0.5000 x3
Ho 0.0000 0.5000 0.5000 x9
S 0.0000 0.0000 0.2426 x6
S 0.0010 0.5005 0.7571 x18

***

(9)
Here is Pr2DyHoS6 after structural relaxation from the Alexandria database. Energies are from PBE-GGA.

The uncorrected formation energy is -2033 meV/atom. The crystal system is trigonal. The magnetic moment is 0.00 μB per formula unit. The calculation puts the density at 4.9 g/cm3.

Cell: 7.0840 7.0840 18.5929 Å, 90.00 90.00 120.00°
Space group R3 (No. 146, hexagonal axes)
Symmetry-distinct sites (fractional):
Pr 0.0000 0.0000 0.0000 x3
Pr 0.0000 0.0000 0.4999 x3
Dy 0.0000 0.0000 0.2071 x3
Ho 0.0000 0.0000 0.7069 x3
S 0.0503 0.3589 0.2767 x9
S 0.0497 0.6923 0.7764 x9

***

(10)
Here is Pr3DyHo3S8 after structural relaxation from the Alexandria database. Energies are from PBE-GGA.

The uncorrected formation energy is -2046 meV/atom. The crystal system is trigonal. The magnetic moment is 0.00 μB per formula unit. The calculation puts the density at 6.2 g/cm3.

Cell: 7.9085 7.9085 19.8226 Å, 90.00 90.00 120.00°
Space group R-3m (No. 166, hexagonal axes)
Symmetry-distinct sites (fractional):
Pr 0.0000 0.5000 0.0000 x9
Dy 0.0000 0.0000 0.5000 x3
Ho 0.0000 0.5000 0.5000 x9
S 0.0000 0.0000 0.2434 x6
S 0.0037 0.5019 0.7556 x18

***

(11)
Here is Pr4Dy3HoS8 after structural relaxation from the Alexandria database. Energies are from PBE-GGA.

The uncorrected formation energy is -2010 meV/atom. The crystal system is trigonal. The magnetic moment is 0.00 μB per formula unit. The calculation puts the density at 6.7 g/cm3.

Cell: 7.9252 7.9252 20.0452 Å, 90.00 90.00 120.00°
Space group R-3m (No. 166, hexagonal axes)
Symmetry-distinct sites (fractional):
Pr 0.0000 0.0000 0.0000 x3
Pr 0.0000 0.5000 0.0000 x9
Dy 0.0000 0.5000 0.5000 x9
Ho 0.0000 0.0000 0.5000 x3
S 0.0000 0.0000 0.2433 x6
S 0.0010 0.5005 0.2431 x18

***

(12)
Here is Pr2DyHo3S6 after structural relaxation from the Alexandria database. Energies are from PBE-GGA.

The uncorrected formation energy is -1992 meV/atom. The crystal system is monoclinic. The magnetic moment is 0.00 μB per formula unit. The calculation puts the density at 7.1 g/cm3.

Cell: 17.309 3.932 8.002 Å, 90.00 104.10 90.00°
Space group C2/m (No. 12)
Symmetry-distinct sites (fractional):
Pr 0.167 0.000 0.335 x4
Dy 0.000 0.500 0.000 x2
Ho 0.000 0.500 0.500 x2
Ho 0.169 0.000 0.833 x4
S 0.005 0.000 0.751 x4
S 0.162 0.500 0.595 x4
S 0.166 0.500 0.069 x4